Record 1
Computed, not measured: crystalline AcHoMgPt at its relaxed geometry at the PBE level of DFT.

Unit cell a=5.3207 b=5.3207 c=5.3207 alpha=60.00 beta=60.00 gamma=60.00
Fractional coordinates of all 4 atoms:
Ac: 0.0000 0.0000 0.0000
Ho: 0.5000 0.5000 0.5000
Mg: 0.2500 0.2500 0.2500
Pt: 0.7500 0.7500 0.7500

Properties
energy = -4.54 eV per atom
formation enthalpy at 0 K = -457.4 meV per atom
magnetization = 0.00 μB per atom
DOS at the Fermi energy = 0.806 states/eV per atom
SG = F-43m, No. 216


Record 2
Computed, not measured: crystalline SrSiSe3 at its relaxed geometry at the PBE level of DFT.

Unit cell a=5.7478 b=5.7478 c=5.7478 alpha=90.00 beta=90.00 gamma=90.00
Fractional coordinates of all 5 atoms:
Sr: 0.0000 0.0000 0.0000
Si: 0.5000 0.5000 0.5000
Se: 0.0000 0.0000 0.5000
Se: 0.0000 0.5000 0.0000
Se: 0.5000 0.0000 0.0000

Properties
energy = -2.94 eV per atom
magnetization = 0.40 μB per atom
DOS at the Fermi energy = 0.778 states/eV per atom
SG = Pm-3m, No. 221
ΔE_f (raw) = 54.71 kJ/mol of atoms


Record 3
Computed, not measured: crystalline LiPmZrSn at its relaxed geometry at the PBE level of DFT.

Unit cell a=5.1175 b=5.1175 c=5.1175 alpha=60.00 beta=60.00 gamma=60.00
Fractional coordinates of all 4 atoms:
Li: 0.0000 0.0000 0.0000
Pm: 0.2500 0.2500 0.2500
Zr: 0.7500 0.7500 0.7500
Sn: 0.5000 0.5000 0.5000

Properties
energy = -5.07 eV per atom
formation enthalpy at 0 K = -263.6 meV per atom
magnetization = 0.00 μB per atom
DOS at the Fermi energy = 0.674 states/eV per atom
SG = F-43m, No. 216


Record 4
Computed, not measured: crystalline SmZr2Sc8 at its relaxed geometry at the PBE level of DFT.

Unit cell a=8.8922 b=8.8922 c=5.3881 alpha=107.39 beta=107.39 gamma=122.75
Fractional coordinates of all 11 atoms:
Sm: 0.0000 0.0000 0.0000
Zr: 0.3091 0.6909 0.5000
Zr: 0.6909 0.3091 0.5000
Sc: 0.0969 0.3630 0.7236
Sc: 0.2051 0.7949 0.0000
Sc: 0.3630 0.0969 0.7236
Sc: 0.4866 0.4866 0.2474
Sc: 0.5134 0.5134 0.7526
Sc: 0.6370 0.9031 0.2764
Sc: 0.7949 0.2051 0.0000
Sc: 0.9031 0.6370 0.2764

Properties
energy = -6.44 eV per atom
formation enthalpy at 0 K = 151.5 meV per atom
magnetization = 0.00 μB per atom
DOS at the Fermi energy = 1.384 states/eV per atom
SG = C2/m, No. 12